TbErB4 | PBE-GGA | optimized geometry

The structure in POSCAR format:
```
TbErB4
1.0
0.000 3.364 3.364
3.364 0.000 3.364
3.364 3.364 0.000
Tb Er B
1 1 4
Cartesian
0.000 0.000 0.000
5.046 5.046 5.046
2.737 2.737 2.737
3.990 3.990 2.737
3.990 2.737 3.990
2.737 3.990 3.990
```

Results
E = -5.6987 eV per atom
offset from the most stable computed form = 707 meV/atom
SG = No. 216